Computed, not measured: a geometry-optimized GaCo2ReAu structure at the GGA-PBE level of DFT.

Output
crystal system: tetragonal
E_tot: -5.2958 eV per atom
N(E_F): 1.224 states/eV/atom
SG: P4/mmm (123)
DFT formation energy: 1.30 eV/atom

Unit cell a=4.296 b=4.296 c=4.624 alpha=90.00 beta=90.00 gamma=90.00
Sites, in units of the cell vectors:
Ga1 0.000 0.000 0.000
Co1 0.000 0.500 0.000
Co2 0.500 0.000 0.000
Re1 0.000 0.000 0.500
Au1 0.500 0.500 0.500